Entry 1:
Density functional theory data (PBE-GGA) for a relaxed structure of Pm5Cu4Ru.

DOS at the Fermi energy (states/eV per atom): 0.6852
Crystal system: tetragonal
Formation enthalpy at 0 K (eV/atom): -0.177
Total magnetization (μB per cell): 0.0
Space group: P4/mmm

Cell lengths 3.528, 3.528, 18.027 Å; angles 90.00, 90.00, 90.00 degrees
Atoms (fractional coordinates):
Pm1 0.000 0.000 0.000
Pm2 0.000 0.000 0.201
Pm3 0.000 0.000 0.405
Pm4 0.000 0.000 0.595
Pm5 0.000 0.000 0.799
Cu1 0.500 0.500 0.100
Cu2 0.500 0.500 0.299
Cu3 0.500 0.500 0.701
Cu4 0.500 0.500 0.900
Ru1 0.500 0.500 0.500

---

Entry 2:
Density functional theory data (PBE-GGA) for a relaxed structure of La10Pm4Er.

DOS at the Fermi energy (states/eV per atom): 1.8747
Crystal system: tetragonal
Formation enthalpy at 0 K (eV/atom): 0.639
Total magnetization (μB per cell): 0.0
Space group: I4/m

Cell lengths 9.677, 9.677, 9.677 Å; angles 99.72, 99.72, 131.48 degrees
Atoms (fractional coordinates):
La1 0.049 0.347 0.900
La2 0.148 0.049 0.702
La3 0.250 0.750 0.500
La4 0.347 0.447 0.298
La5 0.447 0.148 0.100
La6 0.553 0.852 0.900
La7 0.653 0.553 0.702
La8 0.750 0.250 0.500
La9 0.852 0.951 0.298
La10 0.951 0.653 0.100
Pm1 0.200 0.400 0.600
Pm2 0.400 0.800 0.200
Pm3 0.600 0.200 0.800
Pm4 0.800 0.600 0.400
Er1 0.000 0.000 0.000

---

Entry 3:
Density functional theory data (PBE-GGA) for a relaxed structure of MgVGaOs.

DOS at the Fermi energy (states/eV per atom): 0.0438
Crystal system: cubic
Formation enthalpy at 0 K (eV/atom): -0.154
Total magnetization (μB per cell): 0.0
Space group: F-43m

Cell lengths 4.345, 4.345, 4.345 Å; angles 60.00, 60.00, 60.00 degrees
Atoms (fractional coordinates):
Mg1 0.000 0.000 0.000
V1 0.750 0.750 0.750
Ga1 0.250 0.250 0.250
Os1 0.500 0.500 0.500

---

Entry 4:
Density functional theory data (PBE-GGA) for a relaxed structure of LiDy2USe5.

DOS at the Fermi energy (states/eV per atom): 0.7936
Formation energy from raw total energies (eV/atom): -1.447
Crystal system: orthorhombic
Total magnetization (μB per cell): 5.5
Space group: Cmc2_1

Cell lengths 8.727, 8.727, 12.426 Å; angles 90.00, 90.00, 153.22 degrees
Atoms (fractional coordinates):
Li1 0.020 0.980 0.500
Li2 0.980 0.020 0.000
Dy1 0.373 0.627 0.320
Dy2 0.392 0.608 0.713
Dy3 0.608 0.392 0.213
Dy4 0.627 0.373 0.820
U1 0.301 0.699 0.030
U2 0.699 0.301 0.530
Se1 0.002 0.998 0.807
Se2 0.133 0.867 0.028
Se3 0.189 0.811 0.367
Se4 0.214 0.786 0.693
Se5 0.453 0.547 0.100
Se6 0.547 0.453 0.600
Se7 0.786 0.214 0.193
Se8 0.811 0.189 0.867
Se9 0.867 0.133 0.528
Se10 0.998 0.002 0.307

---

Entry 5:
Density functional theory data (PBE-GGA) for a relaxed structure of Pu3InNi8.

DOS at the Fermi energy (states/eV per atom): 2.7721
Crystal system: trigonal
Formation enthalpy at 0 K (eV/atom): -0.252
Total magnetization (μB per cell): 15.0
Space group: R3m

Cell lengths 8.684, 8.684, 8.684 Å; angles 33.59, 33.59, 33.59 degrees
Atoms (fractional coordinates):
Pu1 0.000 0.000 0.000
Pu2 0.125 0.125 0.125
Pu3 0.627 0.627 0.627
In1 0.502 0.502 0.502
Ni1 0.063 0.063 0.561
Ni2 0.063 0.561 0.063
Ni3 0.067 0.563 0.563
Ni4 0.313 0.313 0.313
Ni5 0.561 0.063 0.063
Ni6 0.563 0.067 0.563
Ni7 0.563 0.563 0.067
Ni8 0.813 0.813 0.813

---

Entry 6:
Density functional theory data (PBE-GGA) for a relaxed structure of ScAlSbI2.

DOS at the Fermi energy (states/eV per atom): 0.6431
Formation energy from raw total energies (eV/atom): 0.172
Crystal system: tetragonal
Total magnetization (μB per cell): 0.4
ΔE to the lowest computed polymorph (meV per atom): 295
Space group: P4/mmm

Cell lengths 5.398, 5.398, 5.532 Å; angles 90.00, 90.00, 90.00 degrees
Atoms (fractional coordinates):
Sc1 0.000 0.000 0.000
Al1 0.500 0.500 0.500
Sb1 0.500 0.500 0.000
I1 0.000 0.500 0.500
I2 0.500 0.000 0.500

---

Entry 7:
Density functional theory data (PBE-GGA) for a relaxed structure of CeGdSnPt.

DOS at the Fermi energy (states/eV per atom): 2.2632
Crystal system: cubic
Formation enthalpy at 0 K (eV/atom): -0.741
Total magnetization (μB per cell): 8.1
Space group: F-43m

Cell lengths 5.235, 5.235, 5.235 Å; angles 60.00, 60.00, 60.00 degrees
Atoms (fractional coordinates):
Ce1 0.000 0.000 0.000
Gd1 0.500 0.500 0.500
Sn1 0.750 0.750 0.750
Pt1 0.250 0.250 0.250

---

Entry 8:
Density functional theory data (PBE-GGA) for a relaxed structure of NdGdTcAg.

DOS at the Fermi energy (states/eV per atom): 0.9767
Crystal system: cubic
Formation enthalpy at 0 K (eV/atom): -0.019
Total magnetization (μB per cell): 7.0
Space group: F-43m

Cell lengths 5.075, 5.075, 5.075 Å; angles 60.00, 60.00, 60.00 degrees
Atoms (fractional coordinates):
Nd1 0.000 0.000 0.000
Gd1 0.500 0.500 0.500
Tc1 0.250 0.250 0.250
Ag1 0.750 0.750 0.750

---

Entry 9:
Density functional theory data (PBE-GGA) for a relaxed structure of K2MoPbS4.

DOS at the Fermi energy (states/eV per atom): 0.5199
Formation energy from raw total energies (eV/atom): -0.716
Crystal system: tetragonal
Total magnetization (μB per cell): 0.0
Space group: I-4

Cell lengths 6.848, 6.848, 6.848 Å; angles 110.38, 110.38, 107.67 degrees
Atoms (fractional coordinates):
K1 0.000 0.000 0.000
K2 0.750 0.250 0.500
Mo1 0.500 0.500 0.000
Pb1 0.250 0.750 0.500
S1 0.195 0.539 0.029
S2 0.461 0.490 0.656
S3 0.510 0.166 0.971
S4 0.834 0.805 0.344

---

Entry 10:
Density functional theory data (PBE-GGA) for a relaxed structure of Sn2RuRh.

DOS at the Fermi energy (states/eV per atom): 0.4143
Crystal system: tetragonal
Formation enthalpy at 0 K (eV/atom): -0.201
Total magnetization (μB per cell): 0.0
Space group: P4/mmm

Cell lengths 3.174, 3.174, 6.837 Å; angles 90.00, 90.00, 90.00 degrees
Atoms (fractional coordinates):
Sn1 0.000 0.000 0.247
Sn2 0.000 0.000 0.753
Ru1 0.500 0.500 0.000
Rh1 0.500 0.500 0.500

---

Entry 11:
Density functional theory data (PBE-GGA) for a relaxed structure of K2CdAuO4.

DOS at the Fermi energy (states/eV per atom): 0.8120
Formation energy from raw total energies (eV/atom): -0.570
Crystal system: tetragonal
Total magnetization (μB per cell): 1.0
Space group: I-42m

Cell lengths 5.736, 5.736, 5.736 Å; angles 108.85, 108.85, 110.72 degrees
Atoms (fractional coordinates):
K1 0.000 0.500 0.500
K2 0.500 0.000 0.500
Cd1 0.000 0.000 0.000
Au1 0.500 0.500 0.000
O1 0.120 0.120 0.707
O2 0.414 0.414 0.293
O3 0.586 0.880 0.000
O4 0.880 0.586 0.000

---

Entry 12:
Density functional theory data (PBE-GGA) for a relaxed structure of TaIr4Cl.

DOS at the Fermi energy (states/eV per atom): 1.7339
Formation energy from raw total energies (eV/atom): 0.515
Crystal system: cubic
Total magnetization (μB per cell): 0.0
Space group: F-43m

Cell lengths 5.214, 5.214, 5.214 Å; angles 60.00, 60.00, 60.00 degrees
Atoms (fractional coordinates):
Ta1 0.000 0.000 0.000
Ir1 0.124 0.625 0.625
Ir2 0.625 0.124 0.625
Ir3 0.625 0.625 0.124
Ir4 0.625 0.625 0.625
Cl1 0.250 0.250 0.250

---

Entry 13:
Density functional theory data (PBE-GGA) for a relaxed structure of SrAcTm.

DOS at the Fermi energy (states/eV per atom): 1.2491
Crystal system: monoclinic
Formation enthalpy at 0 K (eV/atom): 0.110
Total magnetization (μB per cell): 0.2
ΔE to the lowest computed polymorph (meV per atom): 0
Space group: P2_1/m

Cell lengths 3.933, 3.939, 16.193 Å; angles 90.00, 90.04, 90.00 degrees
Atoms (fractional coordinates):
Sr1 0.249 0.250 0.276
Sr2 0.751 0.750 0.724
Ac1 0.250 0.250 0.917
Ac2 0.750 0.750 0.083
Tm1 0.250 0.250 0.559
Tm2 0.750 0.750 0.441

---

Entry 14:
Density functional theory data (PBE-GGA) for a relaxed structure of KSr2Sb.

DOS at the Fermi energy (states/eV per atom): 0.5286
Formation energy from raw total energies (eV/atom): -0.457
Crystal system: orthorhombic
Total magnetization (μB per cell): 0.1
Space group: Amm2

Cell lengths 4.611, 9.554, 9.554 Å; angles 29.07, 90.00, 90.00 degrees
Atoms (fractional coordinates):
K1 0.000 0.000 0.000
Sr1 0.000 0.319 0.319
Sr2 0.500 0.672 0.672
Sb1 0.500 0.846 0.846

---

Entry 15:
Density functional theory data (PBE-GGA) for a relaxed structure of La5CoHAu2.

Uncorrected energy (eV for the cell shown): -92.38
DOS at the Fermi energy (states/eV per atom): 0.8448
Crystal system: orthorhombic
Total magnetization (μB per cell): 1.3
Space group: Cmc2_1

Cell lengths 9.323, 9.323, 13.149 Å; angles 90.00, 90.00, 155.05 degrees
Atoms (fractional coordinates):
La1 0.001 0.999 0.500
La2 0.142 0.858 0.755
La3 0.197 0.803 0.119
La4 0.203 0.797 0.404
La5 0.452 0.548 0.747
La6 0.548 0.452 0.247
La7 0.797 0.203 0.904
La8 0.803 0.197 0.619
La9 0.858 0.142 0.255
La10 0.999 0.001 0.000
Co1 0.295 0.705 0.761
Co2 0.705 0.295 0.261
H1 0.065 0.935 0.154
H2 0.935 0.065 0.654
Au1 0.377 0.623 0.068
Au2 0.379 0.621 0.442
Au3 0.621 0.379 0.942
Au4 0.623 0.377 0.568

---

Entry 16:
Density functional theory data (PBE-GGA) for a relaxed structure of SrLiH3.

DOS at the Fermi energy (states/eV per atom): 0.0000
Crystal system: hexagonal
Total magnetization (μB per cell): 0.0
ΔE to the lowest computed polymorph (meV per atom): 35
Space group: P6_3/mmc

Cell lengths 5.321, 5.321, 4.455 Å; angles 90.00, 90.00, 120.00 degrees
Atoms (fractional coordinates):
Sr1 0.333 0.667 0.250
Sr2 0.667 0.333 0.750
Li1 0.000 0.000 0.000
Li2 0.000 0.000 0.500
H1 0.170 0.339 0.750
H2 0.170 0.830 0.750
H3 0.339 0.170 0.250
H4 0.661 0.830 0.750
H5 0.830 0.170 0.250
H6 0.830 0.661 0.250

---

Entry 17:
Density functional theory data (PBE-GGA) for a relaxed structure of Al2CrRu.

DOS at the Fermi energy (states/eV per atom): 0.7780
Crystal system: tetragonal
Formation enthalpy at 0 K (eV/atom): -0.211
Total magnetization (μB per cell): 1.7
Space group: I-4m2

Cell lengths 4.607, 4.607, 4.607 Å; angles 130.44, 130.44, 72.70 degrees
Atoms (fractional coordinates):
Al1 0.000 0.000 0.000
Al2 0.750 0.250 0.500
Cr1 0.500 0.500 0.000
Ru1 0.250 0.750 0.500